LiOs2Se: optimized geometry, PBE-GGA.

POSCAR file:
```
LiOs2Se
1.0
8.619 0.003 0.001
8.137 2.842 0.001
8.137 1.382 2.484
Li Os Se
1 2 1
Direct
0.750 0.750 0.750
0.994 0.994 0.994
0.506 0.506 0.506
0.250 0.250 0.250
```

Results
* uncorrected energy: -25.136 eV per formula unit
* formation energy without anion corrections: 0.68 eV per atom
* symmetry: R-3m

---

ZrTc2P: optimized geometry, PBE-GGA.

POSCAR file:
```
ZrTc2P
1.0
3.042 0.000 0.000
0.000 4.035 0.000
0.000 0.000 5.123
Zr Tc P
1 2 1
Direct
0.000 0.000 0.511
0.000 0.000 0.006
0.500 0.500 0.223
0.500 0.500 0.760
```

Results
* uncorrected energy: -35.761 eV per formula unit
* symmetry: Pmm2
* ΔE_f: -0.268 eV/atom

---

SrCuTc2Pd: optimized geometry, PBE-GGA.

POSCAR file:
```
SrCuTc2Pd
1.0
4.906 0.000 0.000
0.000 4.853 0.000
0.000 0.000 4.906
Sr Cu Tc Pd
1 1 2 1
Direct
0.000 0.000 0.000
0.000 0.500 0.000
0.000 0.000 0.500
0.500 0.000 0.000
0.500 0.500 0.500
```

Results
* uncorrected energy: -18.997 eV per formula unit
* symmetry: P4/mmm
* ΔE_f: 2.541 eV/atom